Entry 1:
A relaxed KBi2MoO8 crystal. Source: Alexandria, functional PBE with a Hubbard U.

Results
Symmetry: No. 10

```
KBi2MoO8
1.0
-4.6810 1.7877 -1.0560
0.7002 -0.4473 -5.0125
-2.5241 -6.4745 0.2242
K Bi Mo O
1 2 1 8
direct
0.0000 0.0000 0.5000
0.5000 0.4999 0.7507
0.5000 0.5001 0.2493
0.0000 0.0000 0.0000
0.1858 0.8072 0.1943
0.7102 0.7164 0.0000
0.8141 0.1926 0.1942
0.8142 0.1928 0.8057
0.2898 0.2836 0.0000
0.1859 0.8074 0.8058
0.6642 0.6838 0.5000
0.3358 0.3162 0.5000
```



Entry 2:
A relaxed KBiMoO5 crystal. Source: Alexandria, functional PBE with a Hubbard U.

Results
Symmetry: No. 15

```
KBiMoO5
1.0
-0.6067 -6.1939 -1.9178
4.5625 -0.0312 4.6469
-7.0810 1.5730 4.0990
K Bi Mo O
2 2 2 10
direct
0.3222 0.6778 0.2500
0.6778 0.3222 0.7500
0.0000 0.0000 0.5000
0.0000 0.0000 0.0000
0.6793 0.3207 0.2500
0.3207 0.6793 0.7500
0.0738 0.9262 0.2500
0.9262 0.0738 0.7500
0.8783 0.3168 0.1327
0.1217 0.6832 0.8673
0.6832 0.1217 0.3673
0.3168 0.8783 0.6327
0.7506 0.5984 0.4035
0.2494 0.4016 0.5965
0.4016 0.2494 0.0965
0.5984 0.7506 0.9035
```



Entry 3:
A relaxed K2BiMoPO8 crystal. Source: Alexandria, functional PBE with a Hubbard U.

Results
Symmetry: No. 73

```
K2BiMoPO8
1.0
7.1415 0.0000 0.0000
3.5708 11.8311 0.0076
3.5708 5.1375 10.6574
K Bi Mo P O
8 4 4 4 32
direct
0.6260 0.2661 0.4228
0.1260 0.4228 0.2661
0.3149 0.0772 0.2339
0.3740 0.7339 0.5772
0.6851 0.9228 0.7661
0.8149 0.2339 0.0772
0.8740 0.5772 0.7339
0.1851 0.7661 0.9228
0.7500 0.8297 0.1703
0.2500 0.6703 0.3297
0.2500 0.1703 0.8297
0.7500 0.3297 0.6703
0.6675 0.5825 0.0825
0.8325 0.9175 0.4175
0.3325 0.4175 0.9175
0.1675 0.0825 0.5825
0.2500 0.9273 0.0727
0.7500 0.0727 0.9273
0.2500 0.4273 0.5727
0.7500 0.5727 0.4273
0.0921 0.8387 0.1405
0.0875 0.8349 0.3989
0.5921 0.1405 0.8387
0.9079 0.1613 0.8595
0.7870 0.4379 0.4389
0.4079 0.8595 0.1613
0.0713 0.3595 0.6613
0.2871 0.4389 0.4379
0.6787 0.8989 0.3349
0.7756 0.4198 0.1447
0.7244 0.8553 0.5802
0.2756 0.1447 0.4198
0.8213 0.6651 0.1011
0.5713 0.6613 0.3595
0.3402 0.3553 0.0802
0.8362 0.9379 0.9389
0.1638 0.0621 0.0611
0.8402 0.0802 0.3553
0.3213 0.1011 0.6651
0.5875 0.3989 0.8349
0.7130 0.5611 0.5621
0.2244 0.5802 0.8553
0.4125 0.6011 0.1651
0.2130 0.5621 0.5611
0.1787 0.3349 0.8989
0.6598 0.6447 0.9198
0.6638 0.0611 0.0621
0.1598 0.9198 0.6447
0.9125 0.1651 0.6011
0.9287 0.6405 0.3387
0.3362 0.9389 0.9379
0.4287 0.3387 0.6405
```



| no. | calculated total energy (eV per atom) |
| --- | --- |
| 1 | -5.7436 |
| 2 | -6.1546 |
| 3 | -6.4237 |